# CrP3F (PBE with a Hubbard U, optimized geometry)
# - energy (eV for the cell shown) = -22.38
# - ΔE to the lowest computed polymorph (eV/atom) = 0.119
data_CrP3F
_chemical_formula_sum 'Cr1 P3 F1'
_cell_length_a 4.345
_cell_length_b 4.345
_cell_length_c 4.345
_cell_angle_alpha 90.00
_cell_angle_beta 90.00
_cell_angle_gamma 90.00
_space_group_name_H-M_alt 'P 1'
_space_group_IT_number 1
_space_group_name_Hall 'P 1'
loop_
_atom_site_label
_atom_site_type_symbol
_atom_site_fract_x
_atom_site_fract_y
_atom_site_fract_z
_atom_site_occupancy
Cr1 Cr 0.000 0.000 0.000 1
P1 P 0.000 0.500 0.500 1
P2 P 0.500 0.000 0.500 1
P3 P 0.500 0.500 0.000 1
F1 F 0.500 0.500 0.500 1